Crystalline Pr5Ag at its relaxed geometry, computed with GGA-PBE.

Results
Crystal system = monoclinic
Excess energy over the best structure of this formula in the dataset = 0 meV/atom
DOS(E_F) = 15.315 states/eV per cell

abc: 12.695 3.817 8.872
angles: 90.00 111.53 90.00
Space group Cm (No. 8)
Inequivalent atoms, fractional coordinates:
1 Pr 0.000 0.000 0.000 [2 per cell]
2 Pr 0.023 0.000 0.445 [2 per cell]
3 Pr 0.188 0.500 0.835 [2 per cell]
4 Pr 0.213 0.500 0.285 [2 per cell]
5 Pr 0.358 0.000 0.643 [2 per cell]
6 Ag 0.354 0.000 0.139 [2 per cell]

Crystalline Pr3Ag2 at its relaxed geometry, computed with GGA-PBE.

Results
Crystal system = monoclinic
Excess energy over the best structure of this formula in the dataset = 78 meV/atom
DOS(E_F) = 34.398 states/eV per cell

abc: 16.127 5.224 10.442
angles: 90.00 92.93 90.00
Space group C2/m (No. 12)
Inequivalent atoms, fractional coordinates:
1 Pr 0.000 0.000 0.000 [2 per cell]
2 Pr 0.010 0.000 0.329 [4 per cell]
3 Pr 0.109 0.500 0.560 [4 per cell]
4 Pr 0.153 0.500 0.937 [4 per cell]
5 Pr 0.247 0.000 0.731 [4 per cell]
6 Ag 0.050 0.500 0.188 [4 per cell]
7 Ag 0.167 0.000 0.149 [4 per cell]
8 Ag 0.198 0.000 0.442 [4 per cell]

Crystalline PrAg2 at its relaxed geometry, computed with GGA-PBE.

Results
Electronic total energy = -3.7607 eV per atom
Crystal system = orthorhombic
DOS(E_F) = 10.541 states/eV per cell

abc: 4.857 7.168 8.306
angles: 90.00 90.00 90.00
Space group Imma (No. 74)
Inequivalent atoms, fractional coordinates:
1 Pr 0.000 0.250 0.034 [4 per cell]
2 Ag 0.000 0.039 0.666 [8 per cell]

Crystalline Pr2Ag3 at its relaxed geometry, computed with GGA-PBE.

Results
Crystal system = cubic
Excess energy over the best structure of this formula in the dataset = 228 meV/atom
DOS(E_F) = 41.815 states/eV per cell

abc: 10.440 10.440 10.440
angles: 90.00 90.00 90.00
Space group I-43d (No. 220)
Inequivalent atoms, fractional coordinates:
1 Pr 0.039 0.461 0.539 [16 per cell]
2 Ag 0.000 0.250 0.007 [24 per cell]

Crystalline Pr5Ag3 at its relaxed geometry, computed with GGA-PBE.

Results
Electronic total energy = -4.2269 eV per atom
Crystal system = tetragonal
DOS(E_F) = 8.948 states/eV per cell

abc: 3.757 3.757 16.786
angles: 90.00 90.00 90.00
Space group P4/mmm (No. 123)
Inequivalent atoms, fractional coordinates:
1 Pr 0.000 0.000 0.000 [1 per cell]
2 Pr 0.000 0.000 0.227 [2 per cell]
3 Pr 0.500 0.500 0.386 [2 per cell]
4 Ag 0.000 0.000 0.500 [1 per cell]
5 Ag 0.500 0.500 0.114 [2 per cell]

Crystalline Pr6Ag5 at its relaxed geometry, computed with GGA-PBE.

Results
Electronic total energy = -4.0542 eV per atom
Crystal system = orthorhombic
DOS(E_F) = 28.338 states/eV per cell

abc: 5.293 7.578 15.811
angles: 90.00 90.00 90.00
Space group Immm (No. 71)
Inequivalent atoms, fractional coordinates:
1 Pr 0.000 0.247 0.000 [4 per cell]
2 Pr 0.000 0.252 0.337 [8 per cell]
3 Ag 0.000 0.000 0.171 [4 per cell]
4 Ag 0.000 0.000 0.500 [2 per cell]
5 Ag 0.000 0.500 0.169 [4 per cell]

Crystalline PrAg at its relaxed geometry, computed with GGA-PBE.

Results
Electronic total energy = -4.0610 eV per atom
Crystal system = cubic
DOS(E_F) = 1.943 states/eV per cell

abc: 3.784 3.784 3.784
angles: 90.00 90.00 90.00
Space group Pm-3m (No. 221)
Inequivalent atoms, fractional coordinates:
1 Pr 0.000 0.000 0.000 [1 per cell]
2 Ag 0.500 0.500 0.500 [1 per cell]

Crystalline PrAg2 at its relaxed geometry, computed with GGA-PBE.

Results
Electronic total energy = -3.7507 eV per atom
Crystal system = hexagonal
DOS(E_F) = 2.560 states/eV per cell

abc: 4.8306 4.8306 3.6284
angles: 90.00 90.00 120.00
Space group P6/mmm (No. 191)
Inequivalent atoms, fractional coordinates:
1 Pr 0.0000 0.0000 0.0000 [1 per cell]
2 Ag 0.3333 0.6667 0.5000 [2 per cell]

Crystalline Pr2Ag5 at its relaxed geometry, computed with GGA-PBE.

Results
Electronic total energy = -3.6024 eV per atom
Crystal system = orthorhombic
DOS(E_F) = 17.128 states/eV per cell

abc: 7.864 13.339 6.234
angles: 90.00 90.00 90.00
Space group Ibam (No. 72)
Inequivalent atoms, fractional coordinates:
1 Pr 0.185 0.103 0.000 [8 per cell]
2 Ag 0.000 0.282 0.250 [8 per cell]
3 Ag 0.000 0.500 0.250 [4 per cell]
4 Ag 0.222 0.139 0.500 [8 per cell]

Crystalline Pr5Ag6 at its relaxed geometry, computed with GGA-PBE.

Results
Electronic total energy = -3.8403 eV per atom
Crystal system = orthorhombic
DOS(E_F) = 23.141 states/eV per cell

abc: 5.232 7.675 15.821
angles: 90.00 90.00 90.00
Space group Immm (No. 71)
Inequivalent atoms, fractional coordinates:
1 Pr 0.000 0.000 0.000 [2 per cell]
2 Pr 0.000 0.000 0.355 [4 per cell]
3 Pr 0.000 0.500 0.327 [4 per cell]
4 Ag 0.000 0.231 0.178 [8 per cell]
5 Ag 0.000 0.284 0.500 [4 per cell]

Crystalline Pr4Ag3Pt at its relaxed geometry, computed with GGA-PBE.

Results
Electronic total energy = -4.6552 eV per atom
Crystal system = tetragonal
DOS(E_F) = 8.185 states/eV per cell

abc: 3.736 3.736 15.063
angles: 90.00 90.00 90.00
Space group P4/mmm (No. 123)
Inequivalent atoms, fractional coordinates:
1 Pr 0.000 0.000 0.114 [2 per cell]
2 Pr 0.000 0.000 0.372 [2 per cell]
3 Ag 0.500 0.500 0.247 [2 per cell]
4 Ag 0.500 0.500 0.500 [1 per cell]
5 Pt 0.500 0.500 0.000 [1 per cell]

Crystalline Pr6AgPt3 at its relaxed geometry, computed with GGA-PBE.

Results
Electronic total energy = -5.6006 eV per atom
Crystal system = orthorhombic
DOS(E_F) = 43.454 states/eV per cell

abc: 11.215 14.622 7.472
angles: 90.00 90.00 90.00
Space group Cmc2_1 (No. 36)
Inequivalent atoms, fractional coordinates:
1 Pr 0.000 0.010 0.000 [4 per cell]
2 Pr 0.000 0.232 0.353 [4 per cell]
3 Pr 0.169 0.472 0.403 [8 per cell]
4 Pr 0.178 0.277 0.956 [8 per cell]
5 Ag 0.000 0.168 0.733 [4 per cell]
6 Pt 0.000 0.402 0.120 [4 per cell]
7 Pt 0.184 0.109 0.206 [8 per cell]